## Nd2MgNi3Ge4 (PBE-GGA)

Data for crystalline Nd2MgNi3Ge4 at its relaxed geometry.

Results
E_tot ... -5.34 eV/atom
ρ ... 7.2 Mg/m³
Energy of formation ... -62.0 kJ per mole of atoms
Crystal system ... tetragonal

abc: 4.184 4.184 10.246
angles: 90.00 90.00 90.00
Element x y z (fractional)
Mg 0.500 0.500 0.500
Ni 0.000 0.000 0.500
Nd 0.500 0.000 0.237
Ni 0.500 0.000 0.885
Ge 0.000 0.500 0.348
Ge 0.500 0.500 0.000
Ge 0.500 0.000 0.652
Nd 0.000 0.500 0.763
Ge 0.000 0.000 0.000
Ni 0.000 0.500 0.115


## CaEuInBi (PBE-GGA)

Data for crystalline CaEuInBi at its relaxed geometry.

Results
E_tot ... -5.29 eV/atom
ρ ... 6.8 Mg/m³
Energy of formation ... -55.0 kJ per mole of atoms
Crystal system ... cubic

abc: 5.623 5.623 5.623
angles: 60.00 60.00 60.00
Site moments in Bohr magnetons follow the coordinates.
Element x y z (fractional)
Eu 0.250 0.250 0.250  6.84
Bi 0.000 0.000 0.000  -0.03
Ca 0.750 0.750 0.750  0.00
In 0.500 0.500 0.500  0.00


## HoTmIrAu (PBE-GGA)

Data for crystalline HoTmIrAu at its relaxed geometry.

Results
E_tot ... -6.16 eV/atom
ρ ... 14.2 Mg/m³
Energy of formation ... -83.5 kJ per mole of atoms
Crystal system ... cubic

abc: 4.923 4.923 4.923
angles: 60.00 60.00 60.00
Element x y z (fractional)
Ir 0.000 0.000 0.000
Ho 0.250 0.250 0.250
Tm 0.750 0.750 0.750
Au 0.500 0.500 0.500


## NaAc3 (PBE-GGA)

Data for crystalline NaAc3 at its relaxed geometry.

Results
E_tot ... -3.22 eV/atom
ρ ... 6.7 Mg/m³
Energy of formation ... 18.7 kJ per mole of atoms
Crystal system ... cubic

abc: 6.264 6.264 6.264
angles: 60.00 60.00 60.00
Element x y z (fractional)
Ac 0.750 0.750 0.750
Ac 0.250 0.250 0.250
Ac 0.000 0.000 0.000
Na 0.500 0.500 0.500


## SrCuIr2 (PBE-GGA)

Data for crystalline SrCuIr2 at its relaxed geometry.

Results
E_tot ... -5.60 eV/atom
ρ ... 12.9 Mg/m³
Energy of formation ... 26.7 kJ per mole of atoms
Crystal system ... orthorhombic

abc: 5.675 5.675 5.675
angles: 150.22 129.96 59.32
Element x y z (fractional)
Ir 0.027 0.027 0.000
Sr 0.750 0.250 0.500
Ir 0.473 0.473 0.000
Cu 0.250 0.750 0.500


## Zn2Ga2Ge (PBE-GGA)

Data for crystalline Zn2Ga2Ge at its relaxed geometry.

Results
E_tot ... -2.50 eV/atom
ρ ... 6.4 Mg/m³
Energy of formation ... 14.1 kJ per mole of atoms
Crystal system ... tetragonal

abc: 7.803 7.803 2.944
angles: 90.00 90.00 90.00
Element x y z (fractional)
Ga 0.673 0.827 0.500
Zn 0.874 0.626 0.000
Zn 0.374 0.874 0.000
Ge 0.500 0.500 0.000
Ga 0.827 0.327 0.500
Ge 0.000 0.000 0.000
Ga 0.173 0.673 0.500
Zn 0.626 0.126 0.000
Ga 0.327 0.173 0.500
Zn 0.126 0.374 0.000


## RbSrTiCl6 (PBE-GGA)

Data for crystalline RbSrTiCl6 at its relaxed geometry.

Results
Formation energy from raw total energies ... -1.967 eV/atom
E_tot ... -4.37 eV/atom
ρ ... 2.3 Mg/m³
Crystal system ... trigonal

abc: 7.113 7.113 13.993
angles: 90.00 90.00 120.00
Site moments in Bohr magnetons follow the coordinates.
Element x y z (fractional)
Rb 0.000 0.000 0.000  0.00
Cl 0.952 0.607 0.352  -0.01
Cl 0.607 0.952 0.852  -0.01
Cl 0.607 0.655 0.648  -0.01
Cl 0.393 0.048 0.148  -0.01
Sr 0.333 0.667 0.250  0.00
Sr 0.667 0.333 0.750  0.00
Cl 0.393 0.345 0.352  -0.01
Cl 0.655 0.607 0.148  -0.01
Cl 0.952 0.345 0.148  -0.01
Cl 0.048 0.393 0.648  -0.01
Cl 0.655 0.048 0.352  -0.01
Cl 0.345 0.393 0.852  -0.01
Cl 0.048 0.655 0.852  -0.01
Ti 0.667 0.333 0.250  0.90
Ti 0.333 0.667 0.750  0.90
Rb 0.000 0.000 0.500  0.00
Cl 0.345 0.952 0.648  -0.01


## Tm3Ge3Au (PBE-GGA)

Data for crystalline Tm3Ge3Au at its relaxed geometry.

Results
E_tot ... -5.16 eV/atom
ρ ... 10.3 Mg/m³
Energy of formation ... -76.8 kJ per mole of atoms
Crystal system ... monoclinic

abc: 4.290 5.740 13.221
angles: 83.68 80.66 68.06
Element x y z (fractional)
Tm 0.604 0.717 0.075
Ge 0.121 0.832 0.925
Ge 0.127 0.293 0.454
Au 0.235 0.917 0.613
Ge 0.014 0.197 0.776
Tm 0.396 0.283 0.925
Tm 0.525 0.326 0.625
Ge 0.986 0.803 0.224
Tm 0.264 0.250 0.222
Au 0.765 0.083 0.387
Tm 0.736 0.750 0.778
Ge 0.873 0.707 0.546
Tm 0.475 0.674 0.375
Ge 0.879 0.168 0.075


## AcTaN3 (PBE-GGA)

Data for crystalline AcTaN3 at its relaxed geometry.

Results
Formation energy from raw total energies ... -0.859 eV/atom
E_tot ... -9.05 eV/atom
ρ ... 9.6 Mg/m³
Crystal system ... orthorhombic

abc: 4.197 6.050 6.130
angles: 90.00 90.00 90.00
Site moments in Bohr magnetons follow the coordinates.
Element x y z (fractional)
N 0.000 0.750 0.218  0.13
Ac 0.000 0.250 0.238  0.02
N 0.000 0.250 0.782  0.13
N 0.500 0.500 0.000  0.05
Ta 0.500 0.750 0.213  -0.04
N 0.500 0.750 0.536  0.33
Ac 0.000 0.750 0.762  0.02
N 0.500 0.250 0.464  0.33
Ta 0.500 0.250 0.787  -0.04
N 0.500 0.000 0.000  0.05


## Ac2CdPd3 (PBE-GGA)

Data for crystalline Ac2CdPd3 at its relaxed geometry.

Results
E_tot ... -4.65 eV/atom
ρ ... 8.9 Mg/m³
Energy of formation ... -51.8 kJ per mole of atoms
Crystal system ... orthorhombic

abc: 3.953 5.148 8.739
angles: 107.13 103.07 90.00
Element x y z (fractional)
Cd 0.000 0.000 0.000
Ac 0.647 0.647 0.295
Pd 0.833 0.833 0.666
Pd 0.000 0.500 0.000
Ac 0.353 0.353 0.705
Pd 0.167 0.167 0.334


## Cd4Te5 (PBE-GGA)

Data for crystalline Cd4Te5 at its relaxed geometry.

Results
Formation energy from raw total energies ... -0.006 eV/atom
E_tot ... -2.16 eV/atom
ρ ... 6.9 Mg/m³
Crystal system ... hexagonal

abc: 8.563 8.563 8.295
angles: 90.00 90.00 120.00
Element x y z (fractional)
Te 0.745 0.000 0.250
Te 0.255 0.255 0.250
Te 0.000 0.255 0.750
Te 0.333 0.667 0.500
Cd 0.000 0.000 0.500
Cd 0.000 0.591 0.750
Te 0.667 0.333 0.000
Cd 0.000 0.409 0.250
Cd 0.000 0.000 0.000
Cd 0.409 0.000 0.250
Cd 0.409 0.409 0.750
Cd 0.591 0.591 0.250
Cd 0.591 0.000 0.750
Te 0.745 0.745 0.750
Te 0.333 0.667 0.000
Te 0.667 0.333 0.500
Te 0.000 0.745 0.250
Te 0.255 0.000 0.750


## K6Ni3Br14 (PBE-GGA)

Data for crystalline K6Ni3Br14 at its relaxed geometry.

Results
Formation energy from raw total energies ... -1.013 eV/atom
E_tot ... -3.07 eV/atom
ρ ... 3.1 Mg/m³
Crystal system ... trigonal

abc: 7.009 11.648 11.648
angles: 120.00 90.00 90.00
Site moments in Bohr magnetons follow the coordinates.
Element x y z (fractional)
K 0.272 0.797 0.090  0.00
Br 0.493 0.000 0.000  0.11
K 0.743 0.429 0.965  0.00
Ni 0.483 0.667 0.333  0.47
K 0.272 0.293 0.203  0.00
K 0.743 0.536 0.571  0.00
Br 0.686 0.737 0.204  0.03
Br 0.459 0.257 0.456  0.16
Br 0.686 0.796 0.533  0.03
Ni 0.316 0.333 0.667  1.46
Br 0.459 0.544 0.800  0.16
Br 0.283 0.866 0.402  0.03
Ni 0.831 0.000 0.000  1.46
Br 0.972 0.142 0.933  0.15
Br 0.283 0.598 0.464  0.03
Br 0.459 0.200 0.743  0.16
K 0.272 0.910 0.707  0.00
K 0.743 0.035 0.464  0.00
Br 0.283 0.536 0.134  0.03
Br 0.686 0.467 0.263  0.03
Br 0.978 0.333 0.667  0.11
Br 0.972 0.790 0.858  0.15
Br 0.972 0.067 0.210  0.15


What did the eighth record say?
## Tm3Ge3Au (PBE-GGA)

Data for crystalline Tm3Ge3Au at its relaxed geometry.

Results
E_tot ... -5.16 eV/atom
ρ ... 10.3 Mg/m³
Energy of formation ... -76.8 kJ per mole of atoms
Crystal system ... monoclinic

abc: 4.290 5.740 13.221
angles: 83.68 80.66 68.06
Element x y z (fractional)
Tm 0.604 0.717 0.075
Ge 0.121 0.832 0.925
Ge 0.127 0.293 0.454
Au 0.235 0.917 0.613
Ge 0.014 0.197 0.776
Tm 0.396 0.283 0.925
Tm 0.525 0.326 0.625
Ge 0.986 0.803 0.224
Tm 0.264 0.250 0.222
Au 0.765 0.083 0.387
Tm 0.736 0.750 0.778
Ge 0.873 0.707 0.546
Tm 0.475 0.674 0.375
Ge 0.879 0.168 0.075


Which formula does entry 8 have?
Tm3Ge3Au


Which formula does entry 4 have?
NaAc3